Entry 1:
Computed, not measured: a relaxed structure of K3Ga4Sn2 at the PBE level of DFT.

a b c (Å): 4.6382 7.1257 9.6972
angles (deg): 69.07 76.17 71.10
Space group P-1 (No. 2)
Inequivalent atoms, fractional coordinates:
1 K 0.0000 0.0000 0.0000 (multiplicity 1)
2 K 0.3712 0.8919 0.3640 (multiplicity 2)
3 Ga 0.0675 0.5023 0.3609 (multiplicity 2)
4 Ga 0.3067 0.3310 0.0566 (multiplicity 2)
5 Sn 0.3094 0.6226 0.7613 (multiplicity 2)

## Properties
Density, g/cm³: 3.752
Formation energy, eV per atom: -0.098
Total DFT energy (no corrections), eV for the cell shown: -24.29

Entry 2:
Computed, not measured: a relaxed structure of Nd2ScAlS6 at the PBE level of DFT.

a b c (Å): 6.4470 7.0422 11.3587
angles (deg): 90.00 124.21 90.00
Space group P2_1/c (No. 14)
Inequivalent atoms, fractional coordinates:
1 Nd 0.2128 0.0972 0.2477 (multiplicity 4)
2 Sc 0.5000 0.0000 0.0000 (multiplicity 2)
3 Al 0.0000 0.0000 0.5000 (multiplicity 2)
4 S 0.1194 0.1943 0.9431 (multiplicity 4)
5 S 0.2542 0.6808 0.9441 (multiplicity 4)
6 S 0.3578 0.0262 0.7411 (multiplicity 4)

## Properties
Density, g/cm³: 4.305
Formation energy without anion corrections, eV/atom: -1.775
Total DFT energy (no corrections), eV for the cell shown: -124.26

Entry 3:
Computed, not measured: a relaxed structure of Cs2ZnPS4 at the PBE level of DFT.

a b c (Å): 5.8981 14.1707 24.8108
angles (deg): 90.00 90.00 90.00
Space group Fddd (No. 70, origin choice 2)
Inequivalent atoms, fractional coordinates:
1 Cs 0.1250 0.1250 0.3016 (multiplicity 16)
2 Zn 0.1250 0.1250 0.1250 (multiplicity 8)
3 P 0.1250 0.1250 0.6250 (multiplicity 8)
4 S 0.1039 0.2867 0.8266 (multiplicity 32)

## Properties
Density, g/cm³: 3.142
Formation energy without anion corrections, eV/atom: -0.730
Total DFT energy (no corrections), eV for the cell shown: -245.94

Entry 4:
Computed, not measured: a relaxed structure of HfTiOsPd at the PBE level of DFT.

a b c (Å): 6.4259 6.4259 6.4259
angles (deg): 90.00 90.00 90.00
Space group F-43m (No. 216)
Inequivalent atoms, fractional coordinates:
1 Hf 0.0000 0.0000 0.0000 (multiplicity 4)
2 Ti 0.0000 0.0000 0.5000 (multiplicity 4)
3 Os 0.2500 0.2500 0.7500 (multiplicity 4)
4 Pd 0.2500 0.2500 0.2500 (multiplicity 4)

## Properties
Density, g/cm³: 13.092
Formation energy, eV per atom: -0.594
Total DFT energy (no corrections), eV for the cell shown: -146.59

Entry 5:
Computed, not measured: a relaxed structure of Tb2Er7Sc at the PBE level of DFT.

a b c (Å): 6.3765 28.2561 3.4378
angles (deg): 90.00 90.00 90.00
Space group Cmmm (No. 65)
Inequivalent atoms, fractional coordinates:
1 Tb 0.0000 0.2081 0.0000 (multiplicity 4)
2 Er 0.0000 0.0000 0.0000 (multiplicity 2)
3 Er 0.0000 0.3152 0.5000 (multiplicity 4)
4 Er 0.2444 0.4035 0.0000 (multiplicity 8)
5 Sc 0.0000 0.5000 0.5000 (multiplicity 2)

## Properties
Density, g/cm³: 8.223
Formation energy, eV per atom: 0.176
Total DFT energy (no corrections), eV for the cell shown: -91.54

Entry 6:
Computed, not measured: a relaxed structure of ErTmScAg at the PBE level of DFT.

a b c (Å): 3.4714 3.4714 8.4616
angles (deg): 90.00 90.00 90.00
Space group P4mm (No. 99)
Inequivalent atoms, fractional coordinates:
1 Er 0.0000 0.0000 0.0000 (multiplicity 1)
2 Tm 0.0000 0.0000 0.4556 (multiplicity 1)
3 Sc 0.5000 0.5000 0.7272 (multiplicity 1)
4 Ag 0.5000 0.5000 0.2303 (multiplicity 1)

## Properties
Density, g/cm³: 7.964
Formation energy, eV per atom: -0.121
ΔE to the lowest computed polymorph, kJ per mole of atoms: 0.0
Total DFT energy (no corrections), eV for the cell shown: -18.70